! K2CaSnCl, relaxed, DFT PBE; values from VASP
&SYSTEM
  ibrav = 0, nat = 5, ntyp = 4
/
ATOMIC_SPECIES
K 39.10 K.upf
Ca 40.08 Ca.upf
Sn 118.71 Sn.upf
Cl 35.45 Cl.upf
CELL_PARAMETERS angstrom
5.716 0.000 0.000
0.000 5.716 0.000
0.000 0.000 6.205
ATOMIC_POSITIONS crystal
K 0.000 0.500 0.000
K 0.500 0.000 0.000
Ca 0.000 0.000 0.500
Sn 0.500 0.500 0.500
Cl 0.500 0.500 0.000
! Energy relative to the elements, uncorrected ... -0.41 eV/atom
! Magnetic moment ... 0.7 Bohr magnetons per cell

***

! ZrRe2OsRh, relaxed, DFT PBE; values from VASP
&SYSTEM
  ibrav = 0, nat = 5, ntyp = 4
/
ATOMIC_SPECIES
Zr 91.22 Zr.upf
Re 186.21 Re.upf
Os 190.23 Os.upf
Rh 102.91 Rh.upf
CELL_PARAMETERS angstrom
4.646 0.000 0.000
0.000 4.646 0.000
0.000 0.000 4.689
ATOMIC_POSITIONS crystal
Zr 0.000 0.000 0.000
Re 0.000 0.500 0.500
Re 0.500 0.000 0.500
Os 0.500 0.500 0.000
Rh 0.500 0.500 0.500
! Formation energy ... 1753 meV per atom
! Magnetic moment ... 0.0 Bohr magnetons per cell

***

! KLiF3, relaxed, DFT PBE; values from VASP
&SYSTEM
  ibrav = 0, nat = 10, ntyp = 3
/
ATOMIC_SPECIES
K 39.10 K.upf
Li 6.94 Li.upf
F 19.00 F.upf
CELL_PARAMETERS angstrom
2.043 -6.817 0.000
2.043 6.817 0.000
0.000 0.000 5.732
ATOMIC_POSITIONS crystal
K 0.131 0.869 0.750
K 0.869 0.131 0.250
Li 0.424 0.576 0.750
Li 0.576 0.424 0.250
F 0.056 0.434 0.750
F 0.434 0.056 0.250
F 0.500 0.500 0.000
F 0.500 0.500 0.500
F 0.566 0.944 0.750
F 0.944 0.566 0.250
! Energy above the most stable polymorph in this dataset ... 45 meV per atom
! Energy relative to the elements, uncorrected ... -2.26 eV/atom
! Magnetic moment ... 0.0 Bohr magnetons per cell

***

! ScPtPb, relaxed, DFT PBE; values from VASP
&SYSTEM
  ibrav = 0, nat = 3, ntyp = 3
/
ATOMIC_SPECIES
Sc 44.96 Sc.upf
Pt 195.08 Pt.upf
Pb 207.20 Pb.upf
CELL_PARAMETERS angstrom
4.691 0.000 0.000
-2.346 4.063 0.000
0.000 0.000 3.294
ATOMIC_POSITIONS crystal
Sc 0.000 0.000 0.000
Pt 0.667 0.333 0.499
Pb 0.333 0.667 0.501
! Formation energy ... -559 meV per atom
! Magnetic moment ... 0.0 Bohr magnetons per cell

***

Number 1: ρ 2.23 g cm⁻³. Number 2: ρ 12.42 g cm⁻³. Number 3: ρ 2.14 g cm⁻³. Number 4: ρ 11.83 g cm⁻³.